MgTlSCl2: relaxed, GGA-PBE.

Output
Crystal system: tetragonal
Space-group type: P4/mmm, No. 123
E_form (uncorrected) in kJ/mol of formula units: -460
Relative energy among the computed polymorphs in eV/atom: 0.000

Cell and atoms, written as extended XYZ:
```
5
Lattice="4.978 0.000 0.000 0.000 4.978 0.000 0.000 0.000 5.113" Properties=species:S:1:pos:R:3 pbc="T T T"
Cl 0.000 2.489 0.000
Cl 2.489 0.000 0.000
Mg 0.000 0.000 0.000
Tl 2.489 2.489 2.556
S 0.000 0.000 2.556
```

=====

LiTlTc3: relaxed, GGA-PBE.

Output
ΔE_f in eV/atom: 2.567
Crystal system: cubic
Space-group type: Pm-3m, No. 221
Relative energy among the computed polymorphs in eV/atom: 1.284

Cell and atoms, written as extended XYZ:
```
5
Lattice="4.992 0.000 0.000 0.000 4.992 0.000 0.000 0.000 4.992" Properties=species:S:1:pos:R:3 pbc="T T T"
Tc 2.496 0.000 0.000
Tc 0.000 0.000 2.496
Tc 0.000 2.496 0.000
Tl 0.000 0.000 0.000
Li 2.496 2.496 2.496
```

=====

Ce3SiGe6Rh2: relaxed, GGA-PBE.

Output
Crystal system: trigonal
Space-group type: P-3m1, No. 164
E_form (uncorrected) in kJ/mol of formula units: -352

Cell and atoms, written as extended XYZ:
```
12
Lattice="6.189 0.000 0.000 -3.094 5.359 0.000 0.000 0.000 7.434" Properties=species:S:1:pos:R:3 pbc="T T T"
Si 0.000 0.000 3.717
Rh 0.000 3.573 0.026
Rh 3.094 1.786 7.407
Ge 1.331 4.342 2.186
Ge 3.094 3.324 5.247
Ge -1.331 4.342 2.186
Ge 1.763 1.018 5.247
Ge 0.000 2.036 2.186
Ge 4.425 1.018 5.247
Ce 0.000 0.000 0.000
Ce 3.094 1.786 2.396
Ce 0.000 3.573 5.038
```

=====

| no. | volume (Å³/atom) | total DFT energy (no corrections) (eV per atom) |
| --- | --- | --- |
| 1 | 25.34 | -3.31 |
| 2 | 24.89 | -4.51 |
| 3 | 20.55 | -5.77 |